This record from Alexandria via LeMat-Bulk describes a geometry-optimized CsKRb structure. The functional is PBE.

a = 7.882 Å, b = 9.233 Å, c = 9.866 Å
α = 61.16°, β = 90.08°, γ = 115.38°
Fractional positions:
1 Cs 0.325 0.648 0.095
2 Cs 0.675 0.352 0.905
3 K 0.654 0.307 0.427
4 K 0.346 0.693 0.573
5 Rb 0.021 0.043 0.729
6 Rb 0.979 0.957 0.271

Properties
- Uncorrected energy: -0.967 eV/atom
- Formation energy: 6 meV per atom
- DOS(E_F): 5.52 states/eV per cell
- E above lowest polymorph: 0.00 eV/f.u.
- Symmetry: P-1
- ρ: 1.558 Mg/m³